VASP calculation (GGA-PBE) on a relaxed structure of AcGdAg.

Output
**Space group**: No. 216
**V**: 34.59 Å³/atom
**Energy of formation**: 0.24 eV/f.u.
**ΔE to the lowest computed polymorph**: 0 meV/atom

```
AcGdAg
1.0
4.582 -2.605 0.207
0.541 -4.591 -2.539
3.060 -0.299 -4.286
Ac Ag Gd
1 1 1
Direct
0.500 0.500 0.500
0.250 0.250 0.250
0.000 0.000 0.000
```